DFT (PBE) results for ScBeTl after structural relaxation.

Its formation energy is 15 meV per atom. As for the total energy: -4.13 eV/atom.

The space group is Cm (No. 8) and the conventional cell measures 12.9522, 3.8278 and 4.7420 Å, with angles of 90.00, 98.31 and 90.00 degrees. The asymmetric unit holds Sc at (0.0000, 0.0000, 0.0000), Sc at (0.2258, 0.5000, 0.1060), Be at (0.3738, 0.0000, 0.2141), Be at (0.4014, 0.5000, 0.4370), Tl at (0.0612, 0.5000, 0.5326) and Tl at (0.2936, 0.0000, 0.6698).

=====

DFT (PBE) results for ZrAg2Au after structural relaxation.

Its formation energy is -104 meV per atom. As for the total energy: -4.49 eV/atom.

The space group is Fm-3m (No. 225) and the conventional cell measures 6.6858, 6.6858 and 6.6858 Å, with angles of 90.00, 90.00 and 90.00 degrees. The asymmetric unit holds Zr at (0.0000, 0.0000, 0.0000), Ag at (0.2500, 0.2500, 0.2500) and Au at (0.0000, 0.0000, 0.5000).

=====

DFT (PBE) results for PtRh2W after structural relaxation.

Its formation energy is -213 meV per atom. As for the total energy: -8.64 eV/atom.

The space group is Pmmm (No. 47) and the conventional cell measures 2.7536, 3.8849 and 5.5810 Å, with angles of 90.00, 90.00 and 90.00 degrees. The asymmetric unit holds Pt at (0.0000, 0.0000, 0.0000), Rh at (0.5000, 0.5000, 0.2574) and W at (0.0000, 0.0000, 0.5000).

=====

DFT (PBE) results for NiMo2Au after structural relaxation.

Its formation energy is 178 meV per atom. As for the total energy: -7.50 eV/atom.

The space group is Pmm2 (No. 25) and the conventional cell measures 2.6861, 3.9450 and 5.7377 Å, with angles of 90.00, 90.00 and 90.00 degrees. The asymmetric unit holds Ni at (0.0000, 0.0000, 0.0000), Mo at (0.0000, 0.0000, 0.5245), Mo at (0.5000, 0.5000, 0.7781) and Au at (0.5000, 0.5000, 0.2515).

=====

Number 1: offset from the most stable computed form 102.8 meV per atom, volume 19.386 A^3/atom. Number 2: offset from the most stable computed form 84.7 meV per atom, volume 18.678 A^3/atom. Number 3: offset from the most stable computed form 31.5 meV per atom, volume 14.926 A^3/atom. Number 4: offset from the most stable computed form 63.9 meV per atom, volume 15.200 A^3/atom.